# UNbPd | the Open Quantum Materials Database | PBE | relaxed
# E: -0.3068 hartree per atom
# M_tot: 0.35 μB/f.u.
# V: 20.855 Å³/atom
# space group: F-43m
# formation energy from the elements: 1.5 eV/f.u.
# distance to the lowest polymorph of the same formula: 0.000 eV/f.u.
data_UNbPd
_cell_length_a 4.456
_cell_length_b 4.456
_cell_length_c 4.456
_cell_angle_alpha 60.00
_cell_angle_beta 60.00
_cell_angle_gamma 60.00
_space_group_name_H-M_alt 'P 1'
_space_group_IT_number 1
_space_group_name_Hall 'P 1'
loop_
_atom_site_label
_atom_site_type_symbol
_atom_site_fract_x
_atom_site_fract_y
_atom_site_fract_z
Nb1 Nb 0.000 0.000 0.000
Pd1 Pd 0.250 0.250 0.250
U1 U 0.750 0.750 0.750



# UNbPd | the Open Quantum Materials Database | PBE | relaxed
# E: -0.3010 hartree per atom
# M_tot: 0.09 μB/f.u.
# V: 21.594 Å³/atom
# space group: F-43m
# formation energy from the elements: 2.0 eV/f.u.
# distance to the lowest polymorph of the same formula: 0.477 eV/f.u.
data_UNbPd
_cell_length_a 4.508
_cell_length_b 4.508
_cell_length_c 4.508
_cell_angle_alpha 60.00
_cell_angle_beta 60.00
_cell_angle_gamma 60.00
_space_group_name_H-M_alt 'P 1'
_space_group_IT_number 1
_space_group_name_Hall 'P 1'
loop_
_atom_site_label
_atom_site_type_symbol
_atom_site_fract_x
_atom_site_fract_y
_atom_site_fract_z
Nb1 Nb 0.250 0.250 0.250
Pd1 Pd 0.750 0.750 0.750
U1 U 0.000 0.000 0.000



# NbPdW | the Open Quantum Materials Database | PBE | relaxed
# E: -0.3142 hartree per atom
# M_tot: 0.03 μB/f.u.
# V: 19.112 Å³/atom
# space group: F-43m
# formation energy from the elements: 2.6 eV/f.u.
# distance to the lowest polymorph of the same formula: 0.000 eV/f.u.
data_NbPdW
_cell_length_a 4.328
_cell_length_b 4.328
_cell_length_c 4.328
_cell_angle_alpha 60.00
_cell_angle_beta 60.00
_cell_angle_gamma 60.00
_space_group_name_H-M_alt 'P 1'
_space_group_IT_number 1
_space_group_name_Hall 'P 1'
loop_
_atom_site_label
_atom_site_type_symbol
_atom_site_fract_x
_atom_site_fract_y
_atom_site_fract_z
Nb1 Nb 0.250 0.250 0.250
Pd1 Pd 0.000 0.000 0.000
W1 W 0.750 0.750 0.750



# NbPd6W | the Open Quantum Materials Database | PBE | relaxed
# E: -0.2574 hartree per atom
# M_tot: 0.01 μB/f.u.
# V: 15.146 Å³/atom
# space group: Pmm2
# formation energy from the elements: -1.9 eV/f.u.
data_NbPd6W
_cell_length_a 4.569
_cell_length_b 5.471
_cell_length_c 4.848
_cell_angle_alpha 90.00
_cell_angle_beta 90.00
_cell_angle_gamma 90.00
_space_group_name_H-M_alt 'P 1'
_space_group_IT_number 1
_space_group_name_Hall 'P 1'
loop_
_atom_site_label
_atom_site_type_symbol
_atom_site_fract_x
_atom_site_fract_y
_atom_site_fract_z
Nb1 Nb 0.500 0.000 0.159
Pd1 Pd 0.500 0.500 0.152
Pd2 Pd 0.000 0.253 0.338
Pd3 Pd 0.000 0.747 0.338
Pd4 Pd 0.500 0.253 0.664
Pd5 Pd 0.500 0.747 0.664
Pd6 Pd 0.000 0.000 0.841
W1 W 0.000 0.500 0.843



# YNb2Pd | the Open Quantum Materials Database | PBE | relaxed
# E: -0.2923 hartree per atom
# M_tot: 0.01 μB/f.u.
# V: 19.192 Å³/atom
# space group: F-43m
# formation energy from the elements: 0.0 eV/f.u.
data_YNb2Pd
_cell_length_a 4.771
_cell_length_b 4.771
_cell_length_c 4.771
_cell_angle_alpha 60.00
_cell_angle_beta 60.00
_cell_angle_gamma 60.00
_space_group_name_H-M_alt 'P 1'
_space_group_IT_number 1
_space_group_name_Hall 'P 1'
loop_
_atom_site_label
_atom_site_type_symbol
_atom_site_fract_x
_atom_site_fract_y
_atom_site_fract_z
Nb1 Nb 0.500 0.500 0.500
Nb2 Nb 0.750 0.750 0.750
Pd1 Pd 0.250 0.250 0.250
Y1 Y 0.000 0.000 0.000



# YNbPd2 | the Open Quantum Materials Database | PBE | relaxed
# E: -0.2548 hartree per atom
# M_tot: 0.01 μB/f.u.
# V: 17.916 Å³/atom
# space group: F-43m
# formation energy from the elements: -0.8 eV/f.u.
data_YNbPd2
_cell_length_a 4.662
_cell_length_b 4.662
_cell_length_c 4.662
_cell_angle_alpha 60.00
_cell_angle_beta 60.00
_cell_angle_gamma 60.00
_space_group_name_H-M_alt 'P 1'
_space_group_IT_number 1
_space_group_name_Hall 'P 1'
loop_
_atom_site_label
_atom_site_type_symbol
_atom_site_fract_x
_atom_site_fract_y
_atom_site_fract_z
Nb1 Nb 0.750 0.750 0.750
Pd1 Pd 0.000 0.000 0.000
Pd2 Pd 0.250 0.250 0.250
Y1 Y 0.500 0.500 0.500



# NbZn2Pd3 | the Open Quantum Materials Database | PBE | relaxed
# E: -0.1904 hartree per atom
# M_tot: 0.00 μB/f.u.
# V: 15.077 Å³/atom
# space group: P4/mmm
# formation energy from the elements: -2.9 eV/f.u.
data_NbZn2Pd3
_cell_length_a 2.877
_cell_length_b 2.877
_cell_length_c 10.931
_cell_angle_alpha 90.00
_cell_angle_beta 90.00
_cell_angle_gamma 90.00
_space_group_name_H-M_alt 'P 1'
_space_group_IT_number 1
_space_group_name_Hall 'P 1'
loop_
_atom_site_label
_atom_site_type_symbol
_atom_site_fract_x
_atom_site_fract_y
_atom_site_fract_z
Nb1 Nb 0.500 0.500 0.500
Pd1 Pd 0.000 0.000 0.000
Pd2 Pd 0.000 0.000 0.317
Pd3 Pd 0.000 0.000 0.683
Zn1 Zn 0.500 0.500 0.158
Zn2 Zn 0.500 0.500 0.842



# NbZnPd2 | the Open Quantum Materials Database | PBE | relaxed
# E: -0.2069 hartree per atom
# M_tot: 0.04 μB/f.u.
# V: 15.703 Å³/atom
# space group: F-43m
# formation energy from the elements: -0.8 eV/f.u.
data_NbZnPd2
_cell_length_a 4.462
_cell_length_b 4.462
_cell_length_c 4.462
_cell_angle_alpha 60.00
_cell_angle_beta 60.00
_cell_angle_gamma 60.00
_space_group_name_H-M_alt 'P 1'
_space_group_IT_number 1
_space_group_name_Hall 'P 1'
loop_
_atom_site_label
_atom_site_type_symbol
_atom_site_fract_x
_atom_site_fract_y
_atom_site_fract_z
Nb1 Nb 0.250 0.250 0.250
Pd1 Pd 0.000 0.000 0.000
Pd2 Pd 0.750 0.750 0.750
Zn1 Zn 0.500 0.500 0.500



# NbZnPd2 | the Open Quantum Materials Database | PBE | relaxed
# E: -0.2069 hartree per atom
# M_tot: 0.01 μB/f.u.
# V: 15.677 Å³/atom
# space group: F-43m
# formation energy from the elements: -0.8 eV/f.u.
data_NbZnPd2
_cell_length_a 4.459
_cell_length_b 4.459
_cell_length_c 4.459
_cell_angle_alpha 60.00
_cell_angle_beta 60.00
_cell_angle_gamma 60.00
_space_group_name_H-M_alt 'P 1'
_space_group_IT_number 1
_space_group_name_Hall 'P 1'
loop_
_atom_site_label
_atom_site_type_symbol
_atom_site_fract_x
_atom_site_fract_y
_atom_site_fract_z
Nb1 Nb 0.500 0.500 0.500
Pd1 Pd 0.000 0.000 0.000
Pd2 Pd 0.750 0.750 0.750
Zn1 Zn 0.250 0.250 0.250



# NbZnPd2 | the Open Quantum Materials Database | PBE | relaxed
# E: -0.2161 hartree per atom
# M_tot: 0.00 μB/f.u.
# V: 15.472 Å³/atom
# space group: P4/mmm
# formation energy from the elements: -1.8 eV/f.u.
data_NbZnPd2
_cell_length_a 2.869
_cell_length_b 2.869
_cell_length_c 7.519
_cell_angle_alpha 90.00
_cell_angle_beta 90.00
_cell_angle_gamma 90.00
_space_group_name_H-M_alt 'P 1'
_space_group_IT_number 1
_space_group_name_Hall 'P 1'
loop_
_atom_site_label
_atom_site_type_symbol
_atom_site_fract_x
_atom_site_fract_y
_atom_site_fract_z
Nb1 Nb 0.000 0.000 0.500
Pd1 Pd 0.500 0.500 0.233
Pd2 Pd 0.500 0.500 0.767
Zn1 Zn 0.000 0.000 0.000



# Zr3Nb2Pd2 | the Open Quantum Materials Database | PBE | relaxed
# E: -0.2889 hartree per atom
# M_tot: 1.65 μB/f.u.
# V: 20.339 Å³/atom
# space group: R3m
# formation energy from the elements: 1.2 eV/f.u.
data_Zr3Nb2Pd2
_cell_length_a 7.938
_cell_length_b 7.938
_cell_length_c 7.938
_cell_angle_alpha 34.40
_cell_angle_beta 34.40
_cell_angle_gamma 34.40
_space_group_name_H-M_alt 'P 1'
_space_group_IT_number 1
_space_group_name_Hall 'P 1'
loop_
_atom_site_label
_atom_site_type_symbol
_atom_site_fract_x
_atom_site_fract_y
_atom_site_fract_z
Nb1 Nb 0.239 0.239 0.239
Nb2 Nb 0.757 0.757 0.757
Pd1 Pd 0.008 0.008 0.008
Pd2 Pd 0.493 0.493 0.493
Zr1 Zr 0.373 0.373 0.373
Zr2 Zr 0.626 0.626 0.626
Zr3 Zr 0.879 0.879 0.879



# ZrNb2Pd | the Open Quantum Materials Database | PBE | relaxed
# E: -0.3177 hartree per atom
# M_tot: 0.00 μB/f.u.
# V: 18.163 Å³/atom
# space group: F-43m
# formation energy from the elements: -0.7 eV/f.u.
data_ZrNb2Pd
_cell_length_a 4.684
_cell_length_b 4.684
_cell_length_c 4.684
_cell_angle_alpha 60.00
_cell_angle_beta 60.00
_cell_angle_gamma 60.00
_space_group_name_H-M_alt 'P 1'
_space_group_IT_number 1
_space_group_name_Hall 'P 1'
loop_
_atom_site_label
_atom_site_type_symbol
_atom_site_fract_x
_atom_site_fract_y
_atom_site_fract_z
Nb1 Nb 0.000 0.000 0.000
Nb2 Nb 0.750 0.750 0.750
Pd1 Pd 0.500 0.500 0.500
Zr1 Zr 0.250 0.250 0.250



# PmNb | the Open Quantum Materials Database | PBE | relaxed
# E: -0.1829 hartree per atom
# M_tot: 1.84 μB/f.u.
# V: 33.144 Å³/atom
# space group: F-43m
# formation energy from the elements: 4.9 eV/f.u.
# distance to the lowest polymorph of the same formula: 3.711 eV/f.u.
data_PmNb
_cell_length_a 4.543
_cell_length_b 4.543
_cell_length_c 4.543
_cell_angle_alpha 60.00
_cell_angle_beta 60.00
_cell_angle_gamma 60.00
_space_group_name_H-M_alt 'P 1'
_space_group_IT_number 1
_space_group_name_Hall 'P 1'
loop_
_atom_site_label
_atom_site_type_symbol
_atom_site_fract_x
_atom_site_fract_y
_atom_site_fract_z
Nb1 Nb 0.000 0.000 0.000
Pm1 Pm 0.250 0.250 0.250



# PmNb | the Open Quantum Materials Database | PBE | relaxed
# E: -0.2468 hartree per atom
# M_tot: 0.01 μB/f.u.
# V: 29.593 Å³/atom
# space group: P6_3/mmc
# formation energy from the elements: 1.4 eV/f.u.
# distance to the lowest polymorph of the same formula: 0.236 eV/f.u.
data_PmNb
_cell_length_a 5.269
_cell_length_b 5.269
_cell_length_c 4.923
_cell_angle_alpha 90.00
_cell_angle_beta 90.00
_cell_angle_gamma 120.00
_space_group_name_H-M_alt 'P 1'
_space_group_IT_number 1
_space_group_name_Hall 'P 1'
loop_
_atom_site_label
_atom_site_type_symbol
_atom_site_fract_x
_atom_site_fract_y
_atom_site_fract_z
Nb1 Nb 0.000 0.000 0.000
Nb2 Nb 0.000 0.000 0.500
Pm1 Pm 0.667 0.333 0.250
Pm2 Pm 0.333 0.667 0.750



# Pm2Nb | the Open Quantum Materials Database | PBE | relaxed
# E: -0.1696 hartree per atom
# M_tot: 0.00 μB/f.u.
# V: 72.487 Å³/atom
# space group: Fd-3m
# formation energy from the elements: 5.7 eV/f.u.
# distance to the lowest polymorph of the same formula: 2.741 eV/f.u.
data_Pm2Nb
_cell_length_a 8.504
_cell_length_b 8.504
_cell_length_c 8.504
_cell_angle_alpha 60.00
_cell_angle_beta 60.00
_cell_angle_gamma 60.00
_space_group_name_H-M_alt 'P 1'
_space_group_IT_number 1
_space_group_name_Hall 'P 1'
loop_
_atom_site_label
_atom_site_type_symbol
_atom_site_fract_x
_atom_site_fract_y
_atom_site_fract_z
Nb1 Nb 0.250 0.250 0.250
Nb2 Nb 0.500 0.500 0.500
Pm1 Pm 0.375 0.875 0.375
Pm2 Pm 0.375 0.375 0.375
Pm3 Pm 0.875 0.375 0.375
Pm4 Pm 0.375 0.375 0.875



# PmNb2 | the Open Quantum Materials Database | PBE | relaxed
# E: -0.1551 hartree per atom
# M_tot: 2.10 μB/f.u.
# V: 67.727 Å³/atom
# space group: Fd-3m
# formation energy from the elements: 12.3 eV/f.u.
# distance to the lowest polymorph of the same formula: 11.497 eV/f.u.
data_PmNb2
_cell_length_a 8.314
_cell_length_b 8.314
_cell_length_c 8.314
_cell_angle_alpha 60.00
_cell_angle_beta 60.00
_cell_angle_gamma 60.00
_space_group_name_H-M_alt 'P 1'
_space_group_IT_number 1
_space_group_name_Hall 'P 1'
loop_
_atom_site_label
_atom_site_type_symbol
_atom_site_fract_x
_atom_site_fract_y
_atom_site_fract_z
Nb1 Nb 0.875 0.375 0.375
Nb2 Nb 0.375 0.375 0.375
Nb3 Nb 0.375 0.875 0.375
Nb4 Nb 0.375 0.375 0.875
Pm1 Pm 0.250 0.250 0.250
Pm2 Pm 0.500 0.500 0.500



# PmNb | the Open Quantum Materials Database | PBE | relaxed
# E: -0.2245 hartree per atom
# M_tot: 0.02 μB/f.u.
# V: 26.635 Å³/atom
# space group: Fm-3m
# formation energy from the elements: 2.6 eV/f.u.
# distance to the lowest polymorph of the same formula: 1.450 eV/f.u.
data_PmNb
_cell_length_a 4.223
_cell_length_b 4.223
_cell_length_c 4.223
_cell_angle_alpha 60.00
_cell_angle_beta 60.00
_cell_angle_gamma 60.00
_space_group_name_H-M_alt 'P 1'
_space_group_IT_number 1
_space_group_name_Hall 'P 1'
loop_
_atom_site_label
_atom_site_type_symbol
_atom_site_fract_x
_atom_site_fract_y
_atom_site_fract_z
Nb1 Nb 0.000 0.000 0.000
Pm1 Pm 0.500 0.500 0.500



# PmNb | the Open Quantum Materials Database | PBE | relaxed
# E: -0.2340 hartree per atom
# M_tot: 0.00 μB/f.u.
# V: 22.543 Å³/atom
# space group: P6_3/mmc
# formation energy from the elements: 2.1 eV/f.u.
# distance to the lowest polymorph of the same formula: 0.934 eV/f.u.
data_PmNb
_cell_length_a 3.637
_cell_length_b 3.637
_cell_length_c 7.870
_cell_angle_alpha 90.00
_cell_angle_beta 90.00
_cell_angle_gamma 120.00
_space_group_name_H-M_alt 'P 1'
_space_group_IT_number 1
_space_group_name_Hall 'P 1'
loop_
_atom_site_label
_atom_site_type_symbol
_atom_site_fract_x
_atom_site_fract_y
_atom_site_fract_z
Nb1 Nb 0.667 0.333 0.250
Nb2 Nb 0.333 0.667 0.750
Pm1 Pm 0.000 0.000 0.000
Pm2 Pm 0.000 0.000 0.500



# PmNb | the Open Quantum Materials Database | PBE | relaxed
# E: -0.2511 hartree per atom
# M_tot: 0.02 μB/f.u.
# V: 24.272 Å³/atom
# space group: P-6m2
# formation energy from the elements: 1.2 eV/f.u.
# distance to the lowest polymorph of the same formula: 0.000 eV/f.u.
data_PmNb
_cell_length_a 3.200
_cell_length_b 3.200
_cell_length_c 5.473
_cell_angle_alpha 90.00
_cell_angle_beta 90.00
_cell_angle_gamma 120.00
_space_group_name_H-M_alt 'P 1'
_space_group_IT_number 1
_space_group_name_Hall 'P 1'
loop_
_atom_site_label
_atom_site_type_symbol
_atom_site_fract_x
_atom_site_fract_y
_atom_site_fract_z
Nb1 Nb 0.667 0.333 0.750
Pm1 Pm 0.333 0.667 0.250



# Pm2Nb | the Open Quantum Materials Database | PBE | relaxed
# E: -0.2031 hartree per atom
# M_tot: 0.24 μB/f.u.
# V: 27.275 Å³/atom
# space group: Fd-3m
# formation energy from the elements: 3.0 eV/f.u.
# distance to the lowest polymorph of the same formula: 0.000 eV/f.u.
data_Pm2Nb
_cell_length_a 6.140
_cell_length_b 6.140
_cell_length_c 6.140
_cell_angle_alpha 60.00
_cell_angle_beta 60.00
_cell_angle_gamma 60.00
_space_group_name_H-M_alt 'P 1'
_space_group_IT_number 1
_space_group_name_Hall 'P 1'
loop_
_atom_site_label
_atom_site_type_symbol
_atom_site_fract_x
_atom_site_fract_y
_atom_site_fract_z
Nb1 Nb 0.000 0.000 0.000
Nb2 Nb 0.250 0.250 0.250
Pm1 Pm 0.625 0.625 0.125
Pm2 Pm 0.625 0.125 0.625
Pm3 Pm 0.125 0.625 0.625
Pm4 Pm 0.625 0.625 0.625